## NaRe2F (PBE)

Data for NaRe2F after structural relaxation.

a = 4.6723 Å, b = 4.6723 Å, c = 8.9670 Å
α = 74.90°, β = 74.90°, γ = 90.00°
Closest atoms and distances in Å follow each position.
Atoms (fractional coordinates):
Re: 0.3750 0.1250 0.2500  2 Re 2.34, 2 F 2.39
Re: 0.3750 0.6250 0.2500  2 Re 2.34, 2 F 2.39
Re: 0.3750 0.6250 0.7500  2 Re 2.34, 2 F 2.39
Re: 0.8750 0.6250 0.7500  2 Re 2.34, 2 F 2.39
F: 0.5000 0.5000 0.0000  4 Re 2.39
F: 0.2500 0.7500 0.5000  4 Re 2.39
Na: 0.0000 0.0000 0.0000  4 F 3.30, 8 Re 3.34
Na: 0.7500 0.2500 0.5000  4 F 3.30, 8 Re 3.34

Summary:
M_tot   0.0 μB/cell
Distance to the lowest polymorph of the same formula   0 meV per atom
Crystal system   tetragonal